The following is a meta-GGA SCAN calculation of a PBEsol-optimized structure of NbCdIr3, from Alexandria.

Cell: 4.729 4.729 4.729 Å, 90.00 90.00 90.00°
Positions (direct):
Cd: 0.500 0.500 0.500
Ir: 0.500 0.000 0.000
Ir: 0.000 0.500 0.000
Ir: 0.000 0.000 0.500
Nb: 0.000 0.000 0.000

Summary:
- Total magnetization: 0.0 μB/cell
- Excess energy over the best structure of this formula in the dataset: 0 meV/atom
- Symmetry: No. 221